A relaxed TbCd2WO6 crystal, computed with PBE with a Hubbard U.

```
TbCd2WO6
1.0
-1.2885 5.3508 -1.3874
1.1966 -1.1357 -5.4912
-7.8403 -2.1894 -1.2556
Tb Cd W O
2 4 2 12
Cartesian
-0.6443 2.6754 -0.6937
-3.3219 -1.6626 -3.3734
-2.1241 3.7017 -6.9874
-5.9072 0.4129 -4.5940
-5.8081 -1.6760 -1.1469
-2.0251 1.6128 -3.5403
-4.5644 1.5807 -1.3215
0.5983 -0.5679 -2.7456
-0.0318 0.7377 -4.1719
-4.4053 2.1372 -6.3699
-7.9004 1.2880 -3.9624
-3.5270 -0.1115 -1.7644
-3.0404 0.0651 -4.9028
-7.4995 1.5459 -6.7074
-4.8919 1.9606 -3.2315
-0.4327 0.4798 -1.4269
-2.3142 3.6166 -4.6390
-5.1490 -0.5721 -6.5972
-5.6181 -1.5909 -3.4953
-2.7833 2.5978 -1.5371
```

* total energy: -6.3686 eV per atom
* crystal system: monoclinic
* space-group type: P2_1/c